The following is a DFT calculation (PBE+U) of an optimized crystal structure of NaNiS2O6.

It has space group R-3 (No. 148, hexagonal axes), with a = 5.0107 Å, b = 5.0107 Å, c = 17.3818 Å, α = 90.00°, β = 90.00° and γ = 120.00°. Symmetry generates all atoms from Na at (0.0000, 0.0000, 0.0000), Ni at (0.0000, 0.0000, 0.5000), S at (0.0000, 0.0000, 0.2646) and O at (0.0283, 0.3011, 0.2366).

The magnetic moment comes out at 3.03 Bohr magnetons per cell. The value obtained for the electronic total energy is -5.424 eV per atom. As for the calculated volume: 377.94 Å³ per cell.